Computed, not measured: an optimized crystal structure of LiCoRe2 at the PBE level of DFT.

Summary:
space-group type = I4/mmm (139)
DFT formation energy = 0.29 eV/atom
energy = -8.19 eV per atom

abc: 4.7136 4.7136 4.7136
angles: 134.84 134.84 65.78
With the nearest neighbours (Å) after each atom.
Positions (direct):
Co1 0.2500 0.7500 0.5000  4 Li 2.56, 8 Re 2.68
Li1 0.7500 0.2500 0.5000  4 Co 2.56, 8 Re 2.68
Re1 0.0000 0.0000 0.0000  4 Re 2.56, 4 Li 2.68, 4 Co 2.68
Re2 0.5000 0.5000 0.0000  4 Re 2.56, 4 Co 2.68, 4 Li 2.68



Computed, not measured: an optimized crystal structure of LiCoRe2 at the PBE level of DFT.

Summary:
space-group type = Cmmm (65)
DFT formation energy = 0.32 eV/atom
energy = -8.16 eV per atom

abc: 4.7484 4.7484 2.5681
angles: 90.00 90.00 115.40
With the nearest neighbours (Å) after each atom.
Positions (direct):
Co1 0.5000 0.0000 0.5000  2 Li 2.54, 2 Co 2.57, 8 Re 2.70
Li1 0.0000 0.5000 0.5000  2 Co 2.54, 2 Li 2.57, 8 Re 2.70
Re1 0.0000 0.0000 0.0000  4 Re 2.54-2.57, 4 Co 2.70, 4 Li 2.70
Re2 0.5000 0.5000 0.0000  4 Re 2.54-2.57, 4 Li 2.70, 4 Co 2.70



Computed, not measured: an optimized crystal structure of Li2CoRe at the PBE level of DFT.

Summary:
space-group type = Cmm2 (35)
DFT formation energy = 0.23 eV/atom
energy = -5.61 eV per atom

abc: 2.5936 2.5936 9.0945
angles: 90.00 90.00 110.58
With the nearest neighbours (Å) after each atom.
Positions (direct):
Co1 0.5000 0.5000 0.7423  2 Re 2.52, 2 Li 2.57, 4 Co 2.59
Li1 0.0000 0.0000 0.9741  2 Co 2.57, 4 Li 2.59
Li2 0.5000 0.5000 0.2658  4 Li 2.59, 2 Re 2.73
Re1 0.0000 0.0000 0.5178  2 Co 2.52, 4 Re 2.59, 2 Li 2.73



Computed, not measured: an optimized crystal structure of Li2CoRe at the PBE level of DFT.

Summary:
space-group type = P4mm (99)
DFT formation energy = 0.20 eV/atom
energy = -5.64 eV per atom

abc: 2.7776 2.7776 7.1320
angles: 90.00 90.00 90.00
With the nearest neighbours (Å) after each atom.
Positions (direct):
Co1 0.5000 0.5000 0.7394  4 Re 2.44, 4 Li 2.56
Li1 0.0000 0.0000 0.9689  4 Co 2.56, 8 Li 2.78-2.83
Li2 0.5000 0.5000 0.2551  8 Li 2.78-2.83, 4 Re 2.81
Re1 0.0000 0.0000 0.5367  4 Co 2.44



Computed, not measured: an optimized crystal structure of Li2CoRe at the PBE level of DFT.

Summary:
space-group type = Pmmm (47)
DFT formation energy = 0.37 eV/atom
energy = -5.48 eV per atom

abc: 2.5023 4.4273 4.7231
angles: 90.00 90.00 90.00
With the nearest neighbours (Å) after each atom.
Positions (direct):
Co1 0.5000 0.5000 0.7500  2 Re 2.36, 2 Co 2.50
Li1 0.0000 0.0000 0.9980  4 Li 2.34-2.50
Li2 0.0000 0.0000 0.5020  4 Li 2.34-2.50
Re1 0.5000 0.5000 0.2500  2 Co 2.36, 2 Re 2.50



Computed, not measured: an optimized crystal structure of LiCo3Re at the PBE level of DFT.

Summary:
space-group type = Pm-3m (221)
DFT formation energy = 1.23 eV/atom
energy = -5.90 eV per atom

abc: 4.4839 4.4839 4.4839
angles: 90.00 90.00 90.00
With the nearest neighbours (Å) after each atom.
Positions (direct):
Re1 0.0000 0.0000 0.0000  6 Co 2.24
Co1 0.0000 0.5000 0.0000  2 Re 2.24
Co2 0.0000 0.0000 0.5000  2 Re 2.24
Co3 0.5000 0.0000 0.0000  2 Re 2.24
Li1 0.5000 0.5000 0.5000  12 Co 3.17



Computed, not measured: an optimized crystal structure of LiCoRe2 at the PBE level of DFT.

Summary:
space-group type = P4/mmm (123)
DFT formation energy = 0.29 eV/atom
energy = -8.18 eV per atom

abc: 2.5752 2.5752 8.2255
angles: 90.00 90.00 90.00
With the nearest neighbours (Å) after each atom.
Positions (direct):
Co1 0.5000 0.5000 0.2500  4 Co 2.58, 8 Re 2.62
Li1 0.5000 0.5000 0.7500  4 Li 2.58, 8 Re 2.87
Re1 0.0000 0.0000 0.0203  4 Re 2.58, 4 Co 2.62, 4 Li 2.87
Re2 0.0000 0.0000 0.4797  4 Re 2.58, 4 Co 2.62, 4 Li 2.87



Computed, not measured: an optimized crystal structure of LiCo2ReRh at the PBE level of DFT.

Summary:
space-group type = P4/mmm (123)
DFT formation energy = 1.08 eV/atom
energy = -6.11 eV per atom

abc: 3.8458 4.1701 3.8458
angles: 90.00 90.00 90.00
With the nearest neighbours (Å) after each atom.
Positions (direct):
Re1 0.0000 0.5000 0.0000  2 Li 2.09
Li1 0.0000 0.0000 0.0000  4 Co 1.92, 2 Re 2.09
Rh1 0.5000 0.5000 0.5000  4 Re 2.72, 8 Co 2.84
Co1 0.0000 0.0000 0.5000  2 Li 1.92
Co2 0.5000 0.0000 0.0000  2 Li 1.92



Computed, not measured: an optimized crystal structure of LiCoReRu at the PBE level of DFT.

Summary:
space-group type = F-43m (216)
DFT formation energy = 0.10 eV/atom
energy = -7.58 eV per atom

abc: 4.1626 4.1626 4.1626
angles: 60.00 60.00 60.00
With the nearest neighbours (Å) after each atom.
Positions (direct):
Re1 0.7500 0.7500 0.7500  4 Co 2.55, 4 Ru 2.55
Li1 0.2500 0.2500 0.2500  4 Co 2.55, 4 Ru 2.55
Co1 0.5000 0.5000 0.5000  4 Li 2.55, 4 Re 2.55
Ru1 0.0000 0.0000 0.0000  4 Li 2.55, 4 Re 2.55



Computed, not measured: an optimized crystal structure of LiCoRe2Sb at the PBE level of DFT.

Summary:
space-group type = P4/mmm (123)
energy = -5.49 eV per atom

abc: 4.8808 4.5066 4.8808
angles: 90.00 90.00 90.00
With the nearest neighbours (Å) after each atom.
Positions (direct):
Re1 0.0000 0.0000 0.5000  2 Sb 2.44
Re2 0.5000 0.0000 0.0000  2 Sb 2.44
Li1 0.0000 0.5000 0.0000  2 Sb 2.25
Co1 0.5000 0.5000 0.5000  8 Re 3.32, 4 Li 3.45
Sb1 0.0000 0.0000 0.0000  2 Li 2.25, 4 Re 2.44



Computed, not measured: an optimized crystal structure of LiCoReTc at the PBE level of DFT.

Summary:
space-group type = F-43m (216)
DFT formation energy = 0.11 eV/atom
energy = -7.84 eV per atom

abc: 4.1774 4.1774 4.1774
angles: 60.00 60.00 60.00
With the nearest neighbours (Å) after each atom.
Positions (direct):
Re1 0.5000 0.5000 0.5000  4 Tc 2.56, 4 Co 2.56
Co1 0.7500 0.7500 0.7500  4 Re 2.56, 4 Li 2.56
Tc1 0.2500 0.2500 0.2500  4 Re 2.56, 4 Li 2.56
Li1 0.0000 0.0000 0.0000  4 Tc 2.56, 4 Co 2.56



Computed, not measured: an optimized crystal structure of LiCoRh2 at the PBE level of DFT.

Summary:
space-group type = Cm (8)
DFT formation energy = 0.01 eV/atom
energy = -5.92 eV per atom

abc: 4.6174 4.6174 4.4157
angles: 80.34 80.34 33.59
With the nearest neighbours (Å) after each atom.
Positions (direct):
Co1 0.5070 0.5070 0.4915  7 Rh 2.57-2.66, 3 Li 2.62-2.71, 2 Co 2.67
Li1 0.7503 0.7503 0.7542  7 Rh 2.55-2.68, 3 Co 2.62-2.71, 2 Li 2.67
Rh1 0.9944 0.9944 0.9921  3 Li 2.56-2.68, 4 Co 2.57-2.60, 5 Rh 2.65-2.72
Rh2 0.2482 0.2482 0.2621  4 Li 2.55-2.61, 3 Co 2.57-2.66, 5 Rh 2.65-2.72



Ρ: 14.0; 13.9; 7.5; 7.8; 8.2; 6.8; 13.3; 11.1; 11.5; 8.7; 11.3; 8.8 (g cm⁻³)